PBE Zr3I4Br2, relaxed; crystal system = trigonal; E_tot = -4.882 eV/atom; size of the total moment = 0.00 μB per atom; SG = No. 156
1.0
-2.608 2.475 -1.047
0.138 -1.186 3.550
14.972 18.087 5.461
Zr I Br
3 4 2
Direct
0.667 0.333 0.657
0.000 0.000 0.322
0.000 0.000 0.981
0.667 0.333 0.404
0.000 0.000 0.575
0.000 0.000 0.739
0.667 0.333 0.240
0.667 0.333 0.907
0.667 0.333 0.054


PBE Zr2I2Br, relaxed; crystal system = monoclinic; E_tot = -5.077 eV/atom; size of the total moment = 0.20 μB per atom; SG = No. 12; distance to the lowest polymorph of the same formula = 0.000 eV per atom
1.0
-3.614 0.254 -0.626
1.394 -1.457 -8.642
0.533 -9.952 3.677
Br I Zr
2 4 4
Direct
0.818 0.490 0.635
0.182 0.510 0.365
0.592 0.764 0.183
0.408 0.236 0.817
0.096 0.145 0.191
0.904 0.855 0.809
0.809 0.072 0.618
0.297 0.731 0.594
0.191 0.928 0.382
0.703 0.269 0.406


PBE ZrI2Br, relaxed; crystal system = triclinic; E_tot = -4.304 eV/atom; size of the total moment = 0.04 μB per atom; SG = No. 2; distance to the lowest polymorph of the same formula = 0.003 eV per atom
1.0
3.710 0.000 1.129
-0.026 5.376 0.086
-0.647 0.015 8.754
Br I Zr
1 2 1
Direct
0.999 0.500 0.000
0.627 0.007 0.746
0.374 0.993 0.254
0.000 0.000 0.000


PBE InBr3, relaxed; crystal system = orthorhombic; E_tot = -2.160 eV/atom; size of the total moment = 0.00 μB per atom; SG = No. 65
1.0
-3.179 -0.613 -3.508
0.457 -2.382 4.112
-5.289 5.580 3.819
Br In
3 1
Direct
0.000 0.000 0.030
0.500 0.500 0.750
0.000 0.000 0.470
0.500 0.500 0.250


PBE In4Br7, relaxed; crystal system = monoclinic; E_tot = -2.815 eV/atom; size of the total moment = 0.00 μB per atom; SG = No. 15; distance to the lowest polymorph of the same formula = 0.000 eV per atom
1.0
-6.189 -4.839 0.897
-2.654 -4.522 -5.919
16.894 -26.695 7.515
In Br
16 28
Direct
0.969 0.451 0.625
0.831 0.169 0.250
0.917 0.369 0.814
0.171 0.676 0.982
0.451 0.969 0.125
0.324 0.829 0.518
0.829 0.324 0.018
0.500 0.000 0.000
0.169 0.831 0.750
0.083 0.631 0.186
0.000 0.500 0.500
0.631 0.083 0.686
0.676 0.171 0.482
0.549 0.031 0.875
0.369 0.917 0.314
0.031 0.549 0.375
0.144 0.477 0.835
0.209 0.093 0.949
0.008 0.687 0.264
0.236 0.306 0.049
0.313 0.992 0.236
0.992 0.313 0.736
0.856 0.523 0.165
0.381 0.446 0.666
0.591 0.249 0.950
0.409 0.751 0.050
0.987 0.978 0.152
0.306 0.236 0.549
0.791 0.907 0.051
0.093 0.209 0.449
0.978 0.987 0.652
0.687 0.008 0.764
0.619 0.554 0.334
0.013 0.022 0.848
0.523 0.855 0.665
0.554 0.619 0.834
0.907 0.791 0.551
0.022 0.013 0.348
0.764 0.694 0.951
0.694 0.764 0.451
0.477 0.145 0.335
0.249 0.591 0.450
0.751 0.409 0.550
0.446 0.381 0.166


PBE In3Br, relaxed; crystal system = orthorhombic; E_tot = -2.674 eV/atom; size of the total moment = 0.00 μB per atom; SG = No. 62; distance to the lowest polymorph of the same formula = 0.000 eV per atom
1.0
8.818 0.000 0.000
0.000 6.358 0.000
0.000 0.000 8.452
In Br
12 4
Direct
0.817 0.156 0.250
0.084 0.236 0.009
0.916 0.764 0.991
0.416 0.736 0.009
0.584 0.264 0.991
0.584 0.264 0.509
0.916 0.764 0.509
0.084 0.236 0.491
0.416 0.736 0.491
0.183 0.844 0.750
0.683 0.656 0.250
0.317 0.344 0.750
0.340 0.139 0.250
0.160 0.639 0.250
0.840 0.361 0.750
0.660 0.861 0.750


PBE InBr, relaxed; crystal system = tetragonal; E_tot = -2.804 eV/atom; size of the total moment = 0.00 μB per atom; SG = No. 87
1.0
12.431 0.000 0.000
0.000 12.431 0.000
0.000 0.000 4.274
Br In
8 8
Direct
0.360 0.841 0.000
0.860 0.341 0.500
0.341 0.140 0.500
0.841 0.640 0.000
0.640 0.159 0.000
0.659 0.860 0.500
0.140 0.659 0.500
0.159 0.360 0.000
0.790 0.085 0.500
0.915 0.790 0.500
0.085 0.210 0.500
0.290 0.585 0.000
0.710 0.415 0.000
0.585 0.710 0.000
0.415 0.290 0.000
0.210 0.915 0.500


PBE InBr, relaxed; crystal system = orthorhombic; E_tot = -2.776 eV/atom; size of the total moment = 0.00 μB per atom; SG = No. 74
1.0
6.877 -0.076 0.079
3.577 5.874 -0.079
-4.688 -3.870 3.217
Br In
2 2
Direct
0.724 0.224 0.500
0.026 0.026 0.000
0.239 0.739 0.500
0.511 0.511 0.000


PBE InBr3, relaxed; crystal system = triclinic; E_tot = -2.686 eV/atom; size of the total moment = 0.00 μB per atom; SG = No. 2
1.0
-2.749 -2.233 1.404
6.476 -9.177 -1.811
5.687 -6.446 6.118
Br In
6 2
Direct
0.370 0.736 0.759
0.095 0.869 0.312
0.905 0.131 0.688
0.632 0.585 0.233
0.368 0.415 0.767
0.630 0.263 0.242
0.079 0.357 0.343
0.921 0.643 0.657


PBE InBr3, relaxed; crystal system = tetragonal; E_tot = -2.134 eV/atom; size of the total moment = 0.00 μB per atom; SG = No. 139
1.0
7.602 -0.044 0.000
5.228 5.520 0.000
-6.415 -2.738 3.025
Br In
3 1
Direct
0.750 0.250 0.500
0.250 0.750 0.500
0.500 0.500 0.000
0.000 0.000 0.000


PBE InBr3, relaxed; crystal system = trigonal; E_tot = -2.182 eV/atom; size of the total moment = 0.19 μB per atom; SG = No. 166
1.0
2.310 0.000 10.252
-1.155 2.001 10.252
-1.155 -2.001 10.252
Br In
3 1
Direct
0.890 0.890 0.890
0.000 0.000 0.000
0.110 0.110 0.110
0.500 0.500 0.500


PBE In3Br, relaxed; crystal system = orthorhombic; E_tot = -2.627 eV/atom; size of the total moment = 0.00 μB per atom; SG = No. 47; distance to the lowest polymorph of the same formula = 0.047 eV per atom
1.0
-1.878 -1.892 -2.763
2.060 -4.006 1.344
-4.940 -1.150 4.144
In Br
3 1
Direct
0.500 0.500 0.250
0.500 0.500 0.750
0.000 0.000 0.500
0.000 0.000 0.000


Q: Number 5 is which compound?
A: In4Br7


Q: Which formula does entry 10 have?
A: InBr3


Q: Number 2 is which compound?
A: Zr2I2Br


Q: Which value of E_tot does entry 9 give?
A: -2.686 eV/atom